The following is a DFT calculation (PBE-GGA) of RbGaRh3 after structural relaxation.

```
RbGaRh3
1.0
4.887 0.000 0.000
0.000 4.887 0.000
0.000 0.000 4.887
Rb Ga Rh
1 1 3
direct
0.000 0.000 0.000
0.500 0.500 0.500
0.000 0.000 0.500
0.000 0.500 0.000
0.500 0.000 0.000
```

Computed properties:
- DFT formation energy (meV per atom) = 2167
- ΔE to the lowest computed polymorph (meV per atom) = 1496
- Fermi-level density of states (states/eV/atom) = 1.39
- magnetization (Bohr magnetons per cell) = 2.13

The following is a DFT calculation (PBE-GGA) of RbGaRh3 after structural relaxation.

```
RbGaRh3
1.0
4.765 0.000 0.000
0.000 4.765 0.000
0.000 0.000 4.765
Rb Ga Rh
1 1 3
direct
0.000 0.000 0.000
0.500 0.500 0.500
0.000 0.500 0.500
0.500 0.000 0.500
0.500 0.500 0.000
```

Computed properties:
- DFT formation energy (meV per atom) = 671
- ΔE to the lowest computed polymorph (meV per atom) = 0
- Fermi-level density of states (states/eV/atom) = 0.87
- magnetization (Bohr magnetons per cell) = 1.57

The following is a DFT calculation (PBE-GGA) of RbGa2Rh2 after structural relaxation.

```
RbGa2Rh2
1.0
-2.222 2.222 6.173
2.222 -2.222 6.173
2.222 2.222 -6.173
Rb Ga Rh
1 2 2
direct
0.000 0.000 0.000
0.331 0.331 0.000
0.669 0.669 0.000
0.250 0.750 0.500
0.750 0.250 0.500
```

Computed properties:
- DFT formation energy (meV per atom) = -284
- ΔE to the lowest computed polymorph (meV per atom) = 0
- Fermi-level density of states (states/eV/atom) = 0.30
- magnetization (Bohr magnetons per cell) = 0.00

The following is a DFT calculation (PBE-GGA) of RbGa2Rh after structural relaxation.

```
RbGa2Rh
1.0
-3.050 3.050 7.198
3.050 -3.050 7.198
3.050 3.050 -7.198
Rb Ga Rh
2 4 2
direct
0.375 0.625 0.750
0.625 0.375 0.250
0.000 0.000 0.000
0.000 0.000 0.500
0.000 0.500 0.000
0.500 0.000 0.500
0.125 0.875 0.250
0.875 0.125 0.750
```

Computed properties:
- DFT formation energy (meV per atom) = -189
- Fermi-level density of states (states/eV/atom) = 0.09
- magnetization (Bohr magnetons per cell) = 0.00

The following is a DFT calculation (PBE-GGA) of RbGa2Rh2 after structural relaxation.

```
RbGa2Rh2
1.0
7.824 0.000 0.000
0.000 7.824 0.000
0.000 0.000 2.933
Rb Ga Rh
2 4 4
direct
0.000 0.000 0.000
0.500 0.500 0.000
0.140 0.360 0.500
0.360 0.860 0.500
0.640 0.140 0.500
0.860 0.640 0.500
0.141 0.641 0.000
0.359 0.141 0.000
0.641 0.859 0.000
0.859 0.359 0.000
```

Computed properties:
- DFT formation energy (meV per atom) = -185
- ΔE to the lowest computed polymorph (meV per atom) = 99
- Fermi-level density of states (states/eV/atom) = 0.22
- magnetization (Bohr magnetons per cell) = 0.00

The following is a DFT calculation (PBE-GGA) of RbGaRh2Se after structural relaxation.

```
RbGaRh2Se
1.0
4.715 0.000 0.000
0.000 4.715 0.000
0.000 0.000 5.609
Rb Ga Rh Se
1 1 2 1
direct
0.000 0.000 0.000
0.500 0.500 0.000
0.000 0.500 0.500
0.500 0.000 0.500
0.500 0.500 0.500
```

Computed properties:
- ΔE_f (raw) (meV per atom) = 325
- Fermi-level density of states (states/eV/atom) = 1.08
- magnetization (Bohr magnetons per cell) = 0.00

| no. | V (Å³/cell) |
| --- | --- |
| 1 | 117 |
| 2 | 108 |
| 3 | 122 |
| 4 | 268 |
| 5 | 180 |
| 6 | 125 |